Computed, not measured: Pm2PrMn after structural relaxation at the GGA-PBE level of DFT.

Cell and atoms, written as POSCAR:
```
Pm2PrMn
1.0
-0.575 -3.544 -0.580
3.235 -0.766 1.475
-3.865 -0.700 8.112
Pm Mn Pr
2 1 1
direct
0.000 0.000 0.801 Pm
0.000 0.000 0.199 Pm
0.500 0.500 0.000 Mn
0.500 0.500 0.500 Pr
```

Results
Symmetry: P4/mmm
Polymorph energy (0 for the lowest one) in meV per atom: 0
Magnetic moment in Bohr magnetons per cell: 3.548
Formation energy in eV/atom: 0.16
N(E_F) in states/eV/atom: 1.5834
Electronic total energy in eV per atom: -5.70